1.
Re3PRh | PBE-GGA | optimized geometry

Results
E_form   2.54 eV/atom
N(E_F)   9.21 states/eV/f.u.
Offset from the most stable computed form   1.5935 eV/atom

Cell: 4.665 4.665 4.665 Å, 90.00 90.00 90.00°
Space group Pm-3m (No. 221)
Inequivalent atoms, fractional coordinates:
1 Re 0.000 0.000 0.500 (multiplicity 3)
2 P 0.500 0.500 0.500 (multiplicity 1)
3 Rh 0.000 0.000 0.000 (multiplicity 1)

2.
MnBeSbIr2 | PBE-GGA | optimized geometry

Results
Formation energy from raw total energies   1.96 eV/atom
N(E_F)   9.41 states/eV/f.u.

Cell: 4.830 4.830 4.655 Å, 90.00 90.00 90.00°
Space group P4/mmm (No. 123)
Inequivalent atoms, fractional coordinates:
1 Mn 0.000 0.000 0.000 (multiplicity 1)
2 Be 0.500 0.500 0.000 (multiplicity 1)
3 Sb 0.000 0.000 0.500 (multiplicity 1)
4 Ir 0.000 0.500 0.500 (multiplicity 2)

3.
AcDyInAg | PBE-GGA | optimized geometry

Results
E_form   -0.36 eV/atom
N(E_F)   4.03 states/eV/f.u.
Offset from the most stable computed form   0.0000 eV/atom

Cell: 3.790 3.790 8.044 Å, 90.00 90.00 90.00°
Space group P4mm (No. 99)
Inequivalent atoms, fractional coordinates:
1 Ac 0.000 0.000 0.000 (multiplicity 1)
2 Dy 0.000 0.000 0.477 (multiplicity 1)
3 In 0.500 0.500 0.713 (multiplicity 1)
4 Ag 0.500 0.500 0.284 (multiplicity 1)

4.
AlBi3Cl | PBE-GGA | optimized geometry

Results
Formation energy from raw total energies   0.34 eV/atom
N(E_F)   4.30 states/eV/f.u.
Offset from the most stable computed form   0.0000 eV/atom

Cell: 5.485 5.485 5.485 Å, 90.00 90.00 90.00°
Space group Pm-3m (No. 221)
Inequivalent atoms, fractional coordinates:
1 Al 0.000 0.000 0.000 (multiplicity 1)
2 Bi 0.000 0.000 0.500 (multiplicity 3)
3 Cl 0.500 0.500 0.500 (multiplicity 1)

5.
NaTc2AuF | PBE-GGA | optimized geometry

Results
Formation energy from raw total energies   0.42 eV/atom
N(E_F)   4.21 states/eV/f.u.

Cell: 4.170 4.170 4.402 Å, 90.00 90.00 90.00°
Space group P4/mmm (No. 123)
Inequivalent atoms, fractional coordinates:
1 Na 0.000 0.000 0.000 (multiplicity 1)
2 Tc 0.000 0.500 0.500 (multiplicity 2)
3 Au 0.500 0.500 0.000 (multiplicity 1)
4 F 0.000 0.000 0.500 (multiplicity 1)

6.
SmSbO3 | PBE-GGA | optimized geometry

Results
Formation energy from raw total energies   -1.60 eV/atom
N(E_F)   2.27 states/eV/f.u.

Cell: 4.250 4.250 4.250 Å, 90.00 90.00 90.00°
Space group Pm-3m (No. 221)
Inequivalent atoms, fractional coordinates:
1 Sm 0.000 0.000 0.000 (multiplicity 1)
2 Sb 0.500 0.500 0.500 (multiplicity 1)
3 O 0.000 0.500 0.500 (multiplicity 3)